(1)
# HoTmCoSn2 (PBE, optimized geometry)
data_HoTmCoSn2
_chemical_formula_sum 'Ho4 Tm4 Co4 Sn8'
_cell_length_a 10.767
_cell_length_b 4.387
_cell_length_c 10.739
_cell_angle_alpha 90.00
_cell_angle_beta 116.45
_cell_angle_gamma 90.00
_space_group_name_H-M_alt 'C 1 2/m 1'
_space_group_IT_number 12
_space_group_name_Hall '-C 2y'
loop_
_atom_site_label
_atom_site_type_symbol
_atom_site_fract_x
_atom_site_fract_y
_atom_site_fract_z
_atom_site_occupancy
Ho1 Ho 0.188 0.000 0.125 1
Tm1 Tm 0.004 0.000 0.669 1
Co1 Co 0.224 0.500 0.331 1
Sn1 Sn 0.024 0.500 0.877 1
Sn2 Sn 0.161 0.500 0.553 1
# E_tot = -5.4073 eV per atom
# Crystal system = monoclinic

(2)
# YHoCo2Sn (PBE, optimized geometry)
data_YHoCo2Sn
_chemical_formula_sum 'Y2 Ho2 Co4 Sn2'
_cell_length_a 3.809
_cell_length_b 3.822
_cell_length_c 13.764
_cell_angle_alpha 90.00
_cell_angle_beta 90.00
_cell_angle_gamma 90.00
_space_group_name_H-M_alt 'A m m 2'
_space_group_IT_number 38
_space_group_name_Hall 'A 2 -2'
loop_
_atom_site_label
_atom_site_type_symbol
_atom_site_fract_x
_atom_site_fract_y
_atom_site_fract_z
_atom_site_occupancy
Y1 Y 0.000 0.000 0.000 1
Ho1 Ho 0.000 0.000 0.725 1
Co1 Co 0.500 0.000 0.161 1
Co2 Co 0.500 0.000 0.568 1
Sn1 Sn 0.500 0.000 0.363 1
# E_tot = -6.2837 eV per atom
# Crystal system = orthorhombic

(3)
# TbHoTlCo2 (PBE, optimized geometry)
data_TbHoTlCo2
_chemical_formula_sum 'Tb2 Ho2 Tl2 Co4'
_cell_length_a 3.813
_cell_length_b 3.835
_cell_length_c 14.138
_cell_angle_alpha 90.00
_cell_angle_beta 90.00
_cell_angle_gamma 90.00
_space_group_name_H-M_alt 'A m m 2'
_space_group_IT_number 38
_space_group_name_Hall 'A 2 -2'
loop_
_atom_site_label
_atom_site_type_symbol
_atom_site_fract_x
_atom_site_fract_y
_atom_site_fract_z
_atom_site_occupancy
Tb1 Tb 0.000 0.000 0.000 1
Ho1 Ho 0.000 0.000 0.720 1
Tl1 Tl 0.500 0.000 0.359 1
Co1 Co 0.500 0.000 0.154 1
Co2 Co 0.500 0.000 0.568 1
# E_tot = -5.4476 eV per atom
# Crystal system = orthorhombic

- Among the records above, which one has the lowest E_tot?
  YHoCo2Sn